(1)
This record from Alexandria via LeMat-Bulk describes PrScCoRh after structural relaxation. The functional is PBE-GGA.

It has space group F-43m (No. 216), with a = 6.7452 Å, b = 6.7452 Å, c = 6.7452 Å, α = 90.00°, β = 90.00° and γ = 90.00°. The asymmetric unit holds Pr at (0.0000, 0.0000, 0.0000), Sc at (0.0000, 0.0000, 0.5000), Co at (0.2500, 0.2500, 0.7500) and Rh at (0.2500, 0.2500, 0.2500).

The spin magnetization comes out at 2.38 μB per cell. The calculation puts the energy relative to the elements at -0.361 eV per atom.



(2)
This record from Alexandria via LeMat-Bulk describes La12NdCd6 after structural relaxation. The functional is PBE-GGA.

It has space group R-3 (No. 148, hexagonal axes), with a = 11.8581 Å, b = 11.8581 Å, c = 14.9673 Å, α = 90.00°, β = 90.00° and γ = 120.00°. The asymmetric unit holds La at (0.0423, 0.1923, 0.3009), La at (0.0581, 0.8383, 0.9059), Nd at (0.0000, 0.0000, 0.5000) and Cd at (0.0373, 0.4453, 0.2080).

The spin magnetization comes out at 0.00 μB per cell. The calculation puts the energy relative to the elements at -0.134 eV per atom.



(3)
This record from Alexandria via LeMat-Bulk describes BaMgCl after structural relaxation. The functional is PBE-GGA.

It has space group F-43m (No. 216), with a = 7.8986 Å, b = 7.8986 Å, c = 7.8986 Å, α = 90.00°, β = 90.00° and γ = 90.00°. The asymmetric unit holds Ba at (0.0000, 0.0000, 0.0000), Mg at (0.2500, 0.2500, 0.2500) and Cl at (0.0000, 0.0000, 0.5000).

The calculation puts the offset from the most stable computed form at 467 meV per atom. The spin magnetization comes out at 0.00 μB per cell.



(4)
This record from Alexandria via LeMat-Bulk describes Sm2GeBr after structural relaxation. The functional is PBE-GGA.

It has space group R3m (No. 160, hexagonal axes), with a = 4.1944 Å, b = 4.1944 Å, c = 22.5736 Å, α = 90.00°, β = 90.00° and γ = 120.00°. The asymmetric unit holds Sm at (0.0000, 0.0000, 0.0000), Sm at (0.0000, 0.0000, 0.1955), Ge at (0.0000, 0.0000, 0.5988) and Br at (0.0000, 0.0000, 0.4285).

The calculation puts the offset from the most stable computed form at 39 meV per atom. The spin magnetization comes out at 0.00 μB per cell.



Number 1: E -6.753 eV per atom. Number 2: E -3.786 eV per atom. Number 3: E -2.211 eV per atom. Number 4: E -5.027 eV per atom.